Record 1
A plane-wave DFT calculation with PBE was carried out for a geometry-optimized Cd2ReTc structure.

Unit cell a=9.880 b=9.880 c=9.880 alpha=16.58 beta=16.58 gamma=16.58
Positions (direct):
Cd: 0.001 0.001 0.001
Cd: 0.499 0.499 0.499
Re: 0.250 0.250 0.250
Tc: 0.750 0.750 0.750

Properties
* density of states at the Fermi level: 1.063 states/eV per atom
* energy above the lowest structure with this stoichiometry: 0.4369 eV/atom
* symmetry: R-3m, No. 166



Record 2
A plane-wave DFT calculation with PBE was carried out for a geometry-optimized CdRe3Tc structure.

Unit cell a=4.703 b=4.703 c=4.703 alpha=90.00 beta=90.00 gamma=90.00
Each line ends with the local moment (μB).
Positions (direct):
Re: 0.000 0.500 0.000  0.56
Re: 0.000 0.000 0.500  0.38
Re: 0.500 0.000 0.000  0.59
Tc: 0.000 0.000 0.000  -0.08
Cd: 0.500 0.500 0.500  -0.02

Properties
* density of states at the Fermi level: 0.970 states/eV per atom
* energy above the lowest structure with this stoichiometry: 0.0000 eV/atom
* symmetry: Pm-3m, No. 221



Record 3
A plane-wave DFT calculation with PBE was carried out for a geometry-optimized CdReTc2 structure.

Unit cell a=2.807 b=2.807 c=8.117 alpha=90.00 beta=90.00 gamma=90.00
Positions (direct):
Cd: 0.000 0.000 0.498
Re: 0.500 0.500 0.776
Tc: 0.000 0.000 0.001
Tc: 0.500 0.500 0.225

Properties
* density of states at the Fermi level: 0.819 states/eV per atom
* symmetry: P4mm, No. 99
* total energy: -8.22 eV/atom



Record 4
A plane-wave DFT calculation with PBE was carried out for a geometry-optimized CdRe2Tc structure.

Unit cell a=5.394 b=5.394 c=5.394 alpha=147.54 beta=129.79 gamma=61.08
Positions (direct):
Cd: 0.250 0.750 0.500
Re: 0.984 0.984 0.000
Re: 0.516 0.516 0.000
Tc: 0.750 0.250 0.500

Properties
* density of states at the Fermi level: 0.824 states/eV per atom
* symmetry: Immm, No. 71
* total energy: -8.55 eV/atom



Record 5
A plane-wave DFT calculation with PBE was carried out for a geometry-optimized CdReTc2 structure.

Unit cell a=2.820 b=2.820 c=8.058 alpha=90.00 beta=90.00 gamma=90.00
Positions (direct):
Cd: 0.500 0.500 0.250
Re: 0.500 0.500 0.750
Tc: 0.000 0.000 0.976
Tc: 0.000 0.000 0.524

Properties
* density of states at the Fermi level: 0.913 states/eV per atom
* symmetry: P4/mmm, No. 123
* total energy: -8.28 eV/atom



Record 6
A plane-wave DFT calculation with PBE was carried out for a geometry-optimized CdReTc2 structure.

Unit cell a=2.730 b=2.730 c=9.504 alpha=90.00 beta=90.00 gamma=114.82
Positions (direct):
Cd: 0.000 0.000 0.498
Re: 0.500 0.500 0.769
Tc: 0.000 0.000 0.001
Tc: 0.500 0.500 0.232

Properties
* density of states at the Fermi level: 1.015 states/eV per atom
* symmetry: Cmm2, No. 35
* total energy: -8.12 eV/atom



Record 7
A plane-wave DFT calculation with PBE was carried out for a geometry-optimized CdRe2Tc structure.

Unit cell a=2.820 b=2.820 c=8.102 alpha=90.00 beta=90.00 gamma=90.00
Positions (direct):
Cd: 0.500 0.500 0.748
Re: 0.000 0.000 0.024
Re: 0.500 0.500 0.252
Tc: 0.000 0.000 0.476

Properties
* density of states at the Fermi level: 0.780 states/eV per atom
* symmetry: P4mm, No. 99
* total energy: -8.74 eV/atom



Record 8
A plane-wave DFT calculation with PBE was carried out for a geometry-optimized CdReTc2 structure.

Unit cell a=4.909 b=4.909 c=4.940 alpha=78.84 beta=78.84 gamma=33.47
Positions (direct):
Cd: 0.750 0.750 0.750
Re: 0.250 0.250 0.250
Tc: 0.985 0.985 0.035
Tc: 0.515 0.515 0.465

Properties
* density of states at the Fermi level: 0.698 states/eV per atom
* symmetry: C2/m, No. 12
* total energy: -8.13 eV/atom



Record 9
A plane-wave DFT calculation with PBE was carried out for a geometry-optimized Cd2ReTc structure.

Unit cell a=10.140 b=10.140 c=10.140 alpha=16.21 beta=16.21 gamma=16.21
Positions (direct):
Cd: 0.007 0.007 0.007
Cd: 0.243 0.243 0.243
Re: 0.492 0.492 0.492
Tc: 0.758 0.758 0.758

Properties
* density of states at the Fermi level: 0.691 states/eV per atom
* energy above the lowest structure with this stoichiometry: 0.0124 eV/atom
* symmetry: R3m, No. 160



Record 10
A plane-wave DFT calculation with PBE was carried out for a geometry-optimized CdReTc2 structure.

Unit cell a=5.362 b=5.362 c=5.362 alpha=147.29 beta=128.01 gamma=62.79
Positions (direct):
Cd: 0.750 0.250 0.500
Re: 0.250 0.750 0.500
Tc: 0.025 0.025 0.000
Tc: 0.475 0.475 0.000

Properties
* density of states at the Fermi level: 0.734 states/eV per atom
* symmetry: Immm, No. 71
* total energy: -8.05 eV/atom



Record 11
A plane-wave DFT calculation with PBE was carried out for a geometry-optimized CdReTc2 structure.

Unit cell a=4.989 b=4.989 c=4.989 alpha=134.17 beta=134.17 gamma=66.83
Positions (direct):
Cd: 0.500 0.500 0.000
Re: 0.750 0.250 0.500
Tc: 0.000 0.000 0.000
Tc: 0.250 0.750 0.500

Properties
* density of states at the Fermi level: 1.253 states/eV per atom
* symmetry: I-4m2, No. 119
* total energy: -7.99 eV/atom



Record 12
A plane-wave DFT calculation with PBE was carried out for a geometry-optimized CdRe2Tc structure.

Unit cell a=2.736 b=2.736 c=9.505 alpha=90.00 beta=90.00 gamma=114.61
Positions (direct):
Cd: 0.500 0.500 0.748
Re: 0.000 0.000 0.018
Re: 0.500 0.500 0.252
Tc: 0.000 0.000 0.483

Properties
* density of states at the Fermi level: 0.853 states/eV per atom
* symmetry: Cmm2, No. 35
* total energy: -8.64 eV/atom